A plane-wave DFT calculation with GGA-PBE was carried out for crystalline AcNdNiPd at its relaxed geometry.

Lattice parameters (Å, degrees): 5.183 5.183 5.183 60.00 60.00 60.00
Positions (direct):
Pd1 0.500 0.500 0.500
Ac1 0.750 0.750 0.750
Nd1 0.250 0.250 0.250
Ni1 0.000 0.000 0.000

Output
- energy (eV per atom) = -5.37
- distance to the lowest polymorph of the same formula (meV/atom) = 108